Density functional theory data (GGA-PBE) for a relaxed PdRuPt2 crystal.

a b c (Å): 4.4442 4.4442 4.4442
angles (deg): 60.00 60.00 60.00
Site moments in Bohr magnetons follow the coordinates.
Fractional coordinates of all 4 atoms:
Ru: 0.0000 0.0000 0.0000  1.45
Pd: 0.5000 0.5000 0.5000  0.10
Pt: 0.2500 0.2500 0.2500  0.21
Pt: 0.7500 0.7500 0.7500  0.21

DFT formation energy	0.228	eV/atom
symmetry	Fm-3m (225)
polymorph energy (0 for the lowest one)	23.9	kJ per mole of atoms
calculated density	16.0	g/cm3
V	62	Å³ per cell